one | ! PmEu2Ni, relaxed, DFT GGA-PBE; values from VASP
! * crystal system: tetragonal
! * density of states at the Fermi level: 13.172 states/eV/cell
! * calculated volume: 117 Å³/cell
! * space group: P4/mmm
&SYSTEM
  ibrav = 0, nat = 4, ntyp = 3
/
ATOMIC_SPECIES
Pm 145.00 Pm.upf
Eu 151.96 Eu.upf
Ni 58.69 Ni.upf
CELL_PARAMETERS angstrom
-3.015 1.176 -1.497
-0.673 -3.281 -1.221
-4.587 -1.932 7.720
ATOMIC_POSITIONS angstrom
Pm -4.137 -2.019 2.501
Eu -3.746 -1.578 6.305
Eu -0.841 -0.354 1.415
Ni -1.844 -1.053 -1.359

---

two | ! PmEu2Ni, relaxed, DFT GGA-PBE; values from VASP
! * crystal system: trigonal
! * density of states at the Fermi level: 13.140 states/eV/cell
! * calculated volume: 129 Å³/cell
! * space group: R-3m
&SYSTEM
  ibrav = 0, nat = 4, ntyp = 3
/
ATOMIC_SPECIES
Pm 145.00 Pm.upf
Eu 151.96 Eu.upf
Ni 58.69 Ni.upf
CELL_PARAMETERS angstrom
-1.857 0.230 -3.238
1.756 -0.732 -3.219
-2.763 -10.401 -1.315
ATOMIC_POSITIONS angstrom
Pm 0.000 0.000 0.000
Eu -1.007 -3.900 -6.179
Eu -1.856 -7.003 -1.593
Ni -1.432 -5.451 -3.886

---

Most stable structure, least stable structure: one, two.

---

one | ! PrEu2Ni, relaxed, DFT GGA-PBE; values from VASP
! * crystal system: trigonal
! * density of states at the Fermi level: 14.879 states/eV/cell
! * calculated volume: 128 Å³/cell
! * space group: R-3m
&SYSTEM
  ibrav = 0, nat = 4, ntyp = 3
/
ATOMIC_SPECIES
Pr 140.91 Pr.upf
Eu 151.96 Eu.upf
Ni 58.69 Ni.upf
CELL_PARAMETERS angstrom
3.876 0.000 0.000
1.938 3.357 0.000
1.938 1.119 9.835
ATOMIC_POSITIONS angstrom
Pr 3.876 2.238 4.918
Eu 5.814 3.357 8.120
Eu 1.938 1.119 1.715
Ni 0.000 0.000 0.000

---

two | ! PrEu2Ni, relaxed, DFT GGA-PBE; values from VASP
! * crystal system: tetragonal
! * density of states at the Fermi level: 14.401 states/eV/cell
! * calculated volume: 119 Å³/cell
! * space group: P4/mmm
&SYSTEM
  ibrav = 0, nat = 4, ntyp = 3
/
ATOMIC_SPECIES
Eu 151.96 Eu.upf
Pr 140.91 Pr.upf
Ni 58.69 Ni.upf
CELL_PARAMETERS angstrom
-0.144 0.754 -3.501
1.444 -3.194 -0.747
-8.446 -3.712 -0.452
ATOMIC_POSITIONS angstrom
Eu -1.534 -0.674 -0.082
Eu -6.912 -3.038 -0.370
Pr -3.573 -3.076 -2.350
Ni 0.650 -1.220 -2.124

---

Most stable structure, least stable structure: two, one.

---

one | ! PrEuNi2, relaxed, DFT GGA-PBE; values from VASP
! * crystal system: cubic
! * density of states at the Fermi level: 8.579 states/eV/cell
! * calculated volume: 86 Å³/cell
! * space group: Fm-3m
&SYSTEM
  ibrav = 0, nat = 4, ntyp = 3
/
ATOMIC_SPECIES
Eu 151.96 Eu.upf
Ni 58.69 Ni.upf
Pr 140.91 Pr.upf
CELL_PARAMETERS angstrom
4.948 0.000 0.000
2.474 4.285 0.000
2.474 1.428 4.040
ATOMIC_POSITIONS angstrom
Eu 4.948 2.857 2.020
Ni 7.423 4.285 3.030
Ni 2.474 1.428 1.010
Pr 0.000 0.000 0.000

---

two | ! PrEuNi2, relaxed, DFT GGA-PBE; values from VASP
! * crystal system: tetragonal
! * density of states at the Fermi level: 11.042 states/eV/cell
! * calculated volume: 87 Å³/cell
! * space group: P4/mmm
&SYSTEM
  ibrav = 0, nat = 4, ntyp = 3
/
ATOMIC_SPECIES
Pr 140.91 Pr.upf
Eu 151.96 Eu.upf
Ni 58.69 Ni.upf
CELL_PARAMETERS angstrom
3.520 0.000 0.000
0.000 3.520 0.000
0.000 0.000 7.020
ATOMIC_POSITIONS angstrom
Pr 1.760 1.760 0.000
Eu 1.760 1.760 3.510
Ni 0.000 0.000 5.416
Ni 0.000 0.000 1.604

---

Most stable structure, least stable structure: two, one.

---

one | ! EuPu2Ni, relaxed, DFT GGA-PBE; values from VASP
! * crystal system: trigonal
! * density of states at the Fermi level: 17.941 states/eV/cell
! * calculated volume: 105 Å³/cell
! * space group: R-3m
&SYSTEM
  ibrav = 0, nat = 4, ntyp = 3
/
ATOMIC_SPECIES
Eu 151.96 Eu.upf
Pu 244.00 Pu.upf
Ni 58.69 Ni.upf
CELL_PARAMETERS angstrom
-0.277 4.194 1.961
-2.134 0.513 4.086
4.065 0.648 4.674
ATOMIC_POSITIONS angstrom
Eu 0.827 2.678 5.361
Pu 1.731 3.924 8.309
Pu -0.078 1.432 2.412
Ni 0.000 0.000 0.000

---

two | ! EuPu2Ni, relaxed, DFT GGA-PBE; values from VASP
! * crystal system: tetragonal
! * density of states at the Fermi level: 16.642 states/eV/cell
! * calculated volume: 104 Å³/cell
! * space group: P4/mmm
&SYSTEM
  ibrav = 0, nat = 4, ntyp = 3
/
ATOMIC_SPECIES
Ni 58.69 Ni.upf
Eu 151.96 Eu.upf
Pu 244.00 Pu.upf
CELL_PARAMETERS angstrom
3.459 0.000 0.000
0.000 3.459 0.000
0.000 0.000 8.692
ATOMIC_POSITIONS angstrom
Ni 1.730 1.730 0.000
Eu 1.730 1.730 4.346
Pu 0.000 0.000 7.141
Pu 0.000 0.000 1.551

---

Most stable structure, least stable structure: two, one.

---

one | ! EuPuNi2, relaxed, DFT GGA-PBE; values from VASP
! * crystal system: tetragonal
! * density of states at the Fermi level: 20.938 states/eV/cell
! * calculated volume: 81 Å³/cell
! * space group: P4/mmm
&SYSTEM
  ibrav = 0, nat = 4, ntyp = 3
/
ATOMIC_SPECIES
Ni 58.69 Ni.upf
Eu 151.96 Eu.upf
Pu 244.00 Pu.upf
CELL_PARAMETERS angstrom
-0.891 -0.553 3.255
1.450 -3.094 -0.128
6.009 2.729 2.108
ATOMIC_POSITIONS angstrom
Ni 4.783 2.172 1.677
Ni 1.227 0.557 0.430
Eu 3.285 -0.459 2.617
Pu 0.280 -1.823 1.563

---

two | ! EuPuNi2, relaxed, DFT GGA-PBE; values from VASP
! * crystal system: cubic
! * density of states at the Fermi level: 23.591 states/eV/cell
! * calculated volume: 79 Å³/cell
! * space group: Fm-3m
&SYSTEM
  ibrav = 0, nat = 4, ntyp = 3
/
ATOMIC_SPECIES
Ni 58.69 Ni.upf
Eu 151.96 Eu.upf
Pu 244.00 Pu.upf
CELL_PARAMETERS angstrom
-1.840 1.141 4.310
2.467 -1.011 4.019
1.957 3.567 2.590
ATOMIC_POSITIONS angstrom
Ni 1.938 2.773 8.189
Ni 0.646 0.924 2.730
Eu 1.292 1.849 5.459
Pu 0.000 0.000 0.000

---

Most stable structure, least stable structure: one, two.

---

one | ! Eu2Si3Ni8, relaxed, DFT GGA-PBE; values from VASP
! * crystal system: tetragonal
! * density of states at the Fermi level: 81.136 states/eV/cell
! * calculated volume: 742 Å³/cell
! * space group: P4_2/nmc
&SYSTEM
  ibrav = 0, nat = 52, ntyp = 3
/
ATOMIC_SPECIES
Eu 151.96 Eu.upf
Ni 58.69 Ni.upf
Si 28.09 Si.upf
CELL_PARAMETERS angstrom
-9.727 -0.793 -1.959
2.023 -6.164 -7.550
-0.460 -5.846 4.650
ATOMIC_POSITIONS angstrom
Eu -5.999 -5.719 -3.500
Eu -3.736 -8.502 -3.297
Eu -2.050 -1.006 0.272
Eu -2.032 -5.396 -2.701
Eu 1.217 -9.909 -2.032
Eu -4.561 -5.989 -0.219
Eu 0.019 -6.259 2.439
Eu -7.811 -1.476 -0.888
Ni 0.511 -5.110 -0.469
Ni -3.776 -3.269 1.657
Ni -2.954 -5.602 2.110
Ni -7.849 -9.556 -0.863
Ni -6.420 -3.485 1.125
Ni -7.994 -3.761 -2.919
Ni -3.022 -8.616 -0.337
Ni 0.091 -5.720 -4.582
Ni -7.291 -7.111 -1.038
Ni -5.471 -10.524 -4.326
Ni -3.337 -3.232 -0.970
Ni -6.978 -5.930 1.300
Ni -8.763 -4.222 1.099
Ni -5.815 -3.434 -1.469
Ni -7.157 -6.311 -6.042
Ni 1.583 -7.693 -4.744
Ni -5.506 -8.819 -0.838
Ni -1.519 -3.631 2.558
Ni -4.158 -3.299 -3.307
Ni -4.593 -1.292 -1.960
Ni -1.072 -8.216 -1.813
Ni -3.642 -4.873 -5.235
Ni -2.150 -6.846 -5.397
Ni -6.775 -8.681 -2.962
Ni -3.120 -5.780 -7.457
Ni -4.629 -7.048 -5.896
Ni -1.447 -10.195 -3.516
Ni -0.745 -3.170 -1.459
Ni 1.061 -6.786 -2.522
Ni 0.076 -3.103 0.878
Ni -1.587 -6.646 0.110
Ni -0.766 -8.978 0.563
Si -5.216 -4.875 2.582
Si 0.674 -7.373 -0.362
Si -2.260 -2.041 -2.790
Si -4.986 -1.952 0.257
Si -1.822 -4.360 0.360
Si -5.444 -4.916 -6.719
Si -1.424 -4.588 -5.910
Si 0.904 -4.450 -2.687
Si -7.529 -4.826 -0.789
Si -6.280 -2.369 -3.599
Si -6.342 -8.443 -5.219
Si -0.635 -7.977 -4.070

---

two | ! Eu2Si3Ni8, relaxed, DFT GGA-PBE; values from VASP
! * crystal system: tetragonal
! * density of states at the Fermi level: 101.612 states/eV/cell
! * calculated volume: 784 Å³/cell
! * space group: P4_2/nmc
&SYSTEM
  ibrav = 0, nat = 52, ntyp = 3
/
ATOMIC_SPECIES
Ni 58.69 Ni.upf
Si 28.09 Si.upf
Eu 151.96 Eu.upf
CELL_PARAMETERS angstrom
-3.796 -9.306 2.570
-0.992 -2.370 -10.051
6.747 -2.757 -0.016
ATOMIC_POSITIONS angstrom
Ni -2.253 -5.752 1.579
Ni 1.094 -2.542 -2.524
Ni 0.661 -3.577 -6.914
Ni 2.068 -8.980 0.619
Ni -1.784 -9.597 -0.576
Ni -0.638 -2.063 -8.414
Ni 4.001 -5.058 -3.261
Ni -0.115 -4.675 -1.224
Ni 1.442 -6.336 0.125
Ni 6.057 -4.181 -6.192
Ni 0.677 -8.163 -7.623
Ni -1.033 -6.926 -0.603
Ni 0.553 -8.811 -3.330
Ni 5.937 -4.195 0.403
Ni 0.949 -6.752 -2.110
Ni 6.285 -3.638 -3.890
Ni 0.626 -7.524 -5.386
Ni -0.673 -6.010 -6.886
Ni 2.973 -6.713 -8.123
Ni 1.623 -10.873 -4.245
Ni 3.725 -4.916 -0.503
Ni -1.383 -3.620 0.990
Ni 1.790 -5.779 -4.168
Ni -2.217 -10.632 -4.965
Ni -0.564 -10.771 -2.758
Ni 3.761 -5.631 -5.692
Ni 2.363 -3.597 -4.739
Ni -1.592 -8.261 -6.264
Ni 0.030 -0.465 -1.638
Ni 1.315 -10.777 -7.001
Ni 3.378 -10.468 2.135
Ni 1.863 -10.300 -1.814
Si 2.023 -4.672 -2.118
Si 1.591 -5.705 -6.499
Si 0.368 -8.728 -0.998
Si -3.745 -9.132 -5.851
Si -1.044 -2.545 -1.630
Si 1.504 -0.614 -0.004
Si -1.603 -3.882 -7.300
Si 5.244 -2.142 -0.012
Si -0.064 -9.761 -5.379
Si -3.185 -7.795 -0.181
Si 2.483 -7.831 -3.752
Si -0.524 -6.602 -3.745
Eu 3.725 -7.634 -1.202
Eu -0.338 -7.961 1.911
Eu -2.479 -8.561 -3.090
Eu 1.530 -3.383 0.647
Eu 3.221 -8.838 -6.307
Eu 3.513 -3.506 -7.508
Eu 4.001 -2.340 -2.563
Eu -0.550 -3.834 -4.395

---

Most stable structure, least stable structure: one, two.